1.
A relaxed structure of Al2CuTc, computed with PBE-GGA.

Summary:
Relative energy among the computed polymorphs (meV/atom): 239
Total DFT energy (no corrections) (eV/atom): -5.63
Formation enthalpy at 0 K (eV per atom): -0.14

Structure (POSCAR):
```
Al2CuTc
1.0
2.6994 0.0000 0.0000
-1.2565 4.3026 0.0000
-0.0485 -0.8386 4.8627
Al Cu Tc
2 1 1
Direct
0.2470 0.0024 0.2513
0.7530 0.9976 0.7487
0.0000 0.5000 0.5000
0.5000 0.5000 0.0000
```


2.
A relaxed structure of Al2CuTc, computed with PBE-GGA.

Summary:
Relative energy among the computed polymorphs (meV/atom): 60
Total DFT energy (no corrections) (eV/atom): -5.81
Formation enthalpy at 0 K (eV per atom): -0.32

Structure (POSCAR):
```
Al2CuTc
1.0
-1.7923 1.7923 4.2872
1.7923 -1.7923 4.2872
1.7923 1.7923 -4.2872
Al Cu Tc
2 1 1
Direct
0.0000 0.0000 0.0000
0.7500 0.2500 0.5000
0.5000 0.5000 0.0000
0.2500 0.7500 0.5000
```


3.
A relaxed structure of Al2CuTc2, computed with PBE-GGA.

Summary:
Relative energy among the computed polymorphs (meV/atom): 0
Total DFT energy (no corrections) (eV/atom): -6.53
Formation enthalpy at 0 K (eV per atom): -0.07

Structure (POSCAR):
```
Al2CuTc2
1.0
6.4568 0.0000 0.0000
0.0000 6.4568 0.0000
0.0000 0.0000 3.4094
Al Cu Tc
4 2 4
Direct
0.1364 0.3636 0.0000
0.3636 0.8636 0.0000
0.6364 0.1364 0.0000
0.8636 0.6364 0.0000
0.0000 0.0000 0.0000
0.5000 0.5000 0.0000
0.1669 0.6669 0.5000
0.3331 0.1669 0.5000
0.6669 0.8331 0.5000
0.8331 0.3331 0.5000
```